First-principles (PBE-GGA) data for an optimized crystal structure of Ho2ErHg4, as listed in the Alexandria database.

extended XYZ file:
```
7
Lattice="-3.164 -3.328 2.135 1.804 -3.591 3.083 -1.461 2.978 8.484" Properties=species:S:1:pos:R:3 pbc="T T T"
Hg -1.078 0.970 5.921
Hg -1.032 -3.956 4.317
Ho -2.100 -3.037 10.173
Ho -0.721 -0.904 3.529
Er 0.000 0.000 0.000
Hg -1.743 -4.911 7.781
Hg -1.789 0.015 9.385
```

N(E_F) = 0.75 states/eV per atom
Calculated formation energy = -0.34 eV per atom
E above lowest polymorph = 0.0 meV per atom
E_tot = -2.468 eV per atom

---

First-principles (PBE-GGA) data for an optimized crystal structure of Ho12Er5Hg2, as listed in the Alexandria database.

extended XYZ file:
```
19
Lattice="-2.548 6.096 -6.521 -6.046 -5.754 3.591 -1.545 5.399 5.650" Properties=species:S:1:pos:R:3 pbc="T T T"
Ho -6.978 4.160 2.474
Hg -1.811 4.334 -4.637
Ho -5.570 -1.365 3.516
Hg -0.736 1.762 -1.885
Er -5.703 3.868 -0.764
Ho -2.752 4.323 5.116
Ho -4.757 5.400 -3.841
Er -0.773 2.699 2.825
Er -5.575 7.389 2.477
Ho -3.161 1.580 0.245
Ho -7.700 1.361 4.280
Er -4.436 1.873 3.484
Ho -3.560 4.692 1.785
Ho -6.578 1.049 0.934
Ho -5.381 0.340 6.561
Ho -4.569 7.105 -0.797
Er -4.564 -1.648 0.242
Ho -7.387 1.417 -2.396
Ho -2.439 4.380 -1.560
```

N(E_F) = 1.46 states/eV per atom
Calculated formation energy = 0.01 eV per atom
E_tot = -4.112 eV per atom

---

First-principles (PBE-GGA) data for an optimized crystal structure of Ho5ErHg2, as listed in the Alexandria database.

extended XYZ file:
```
8
Lattice="-1.729 -1.509 2.825 -6.299 -3.844 -3.565 2.533 -7.789 -0.267" Properties=species:S:1:pos:R:3 pbc="T T T"
Er 0.000 0.000 0.000
Ho -0.475 -6.089 1.145
Ho -1.883 -5.817 -1.916
Ho -4.467 -4.306 -0.346
Hg -4.152 -10.011 -0.857
Hg -1.343 -3.132 -0.151
Ho -5.020 -7.053 -2.152
Ho -1.028 -8.837 -0.662
```

N(E_F) = 0.97 states/eV per atom
Calculated formation energy = -0.15 eV per atom
E_tot = -3.658 eV per atom